a.
The following is a PBE-GGA calculation of crystalline Hf2ZrNbO at its relaxed geometry, from Alexandria via LeMat-Bulk.

Cell lengths 4.5007, 4.5007, 4.3953 Å; angles 90.00, 90.00, 90.00 degrees
Space group P4/mmm (No. 123)
Symmetry-distinct sites (fractional):
Hf (0.0000, 0.5000, 0.0000) x2
Zr (0.0000, 0.0000, 0.5000) x1
Nb (0.5000, 0.5000, 0.5000) x1
O (0.5000, 0.5000, 0.0000) x1

Computed properties:
Crystal system: tetragonal
DOS(E_F) in states/eV per atom: 0.786

b.
The following is a PBE-GGA calculation of crystalline Hf2ZrNbO at its relaxed geometry, from Alexandria via LeMat-Bulk.

Cell lengths 4.4166, 4.4166, 4.5807 Å; angles 90.00, 90.00, 90.00 degrees
Space group P4/mmm (No. 123)
Symmetry-distinct sites (fractional):
Hf (0.0000, 0.5000, 0.0000) x2
Zr (0.0000, 0.0000, 0.5000) x1
Nb (0.5000, 0.5000, 0.5000) x1
O (0.0000, 0.0000, 0.0000) x1

Computed properties:
Crystal system: tetragonal
DOS(E_F) in states/eV per atom: 0.706

Result of the stability comparison: b is the most stable of them.

a.
The following is a PBE-GGA calculation of crystalline Hf2NbP2 at its relaxed geometry, from Alexandria via LeMat-Bulk.

Cell lengths 7.0738, 9.6776, 5.2849 Å; angles 90.00, 90.00, 90.00 degrees
Space group Ibam (No. 72)
Symmetry-distinct sites (fractional):
Hf (0.1392, 0.1601, 0.0000) x8
Nb (0.0000, 0.5000, 0.2500) x4
P (0.2149, 0.1022, 0.5000) x8

Computed properties:
Crystal system: orthorhombic
DOS(E_F) in states/eV per atom: 0.533

b.
The following is a PBE-GGA calculation of crystalline Hf2NbP2 at its relaxed geometry, from Alexandria via LeMat-Bulk.

Cell lengths 6.8066, 6.8066, 3.6004 Å; angles 90.00, 90.00, 90.00 degrees
Space group P4/mbm (No. 127)
Symmetry-distinct sites (fractional):
Hf (0.1616, 0.3384, 0.0000) x4
Nb (0.0000, 0.0000, 0.5000) x2
P (0.1413, 0.6413, 0.5000) x4

Computed properties:
Crystal system: tetragonal
DOS(E_F) in states/eV per atom: 0.559

Result of the stability comparison: b is the most stable of them.

a.
The following is a PBE-GGA calculation of crystalline HfNbP3 at its relaxed geometry, from Alexandria via LeMat-Bulk.

Cell lengths 4.7329, 4.7329, 4.7329 Å; angles 90.00, 90.00, 90.00 degrees
Space group Pm-3m (No. 221)
Symmetry-distinct sites (fractional):
Hf (0.0000, 0.0000, 0.0000) x1
Nb (0.5000, 0.5000, 0.5000) x1
P (0.0000, 0.5000, 0.5000) x3

Computed properties:
Crystal system: cubic
DOS(E_F) in states/eV per atom: 0.736

b.
The following is a PBE-GGA calculation of crystalline HfNbP3 at its relaxed geometry, from Alexandria via LeMat-Bulk.

Cell lengths 4.8356, 4.8356, 4.8356 Å; angles 90.00, 90.00, 90.00 degrees
Space group Pm-3m (No. 221)
Symmetry-distinct sites (fractional):
Hf (0.0000, 0.0000, 0.0000) x1
Nb (0.5000, 0.5000, 0.5000) x1
P (0.0000, 0.0000, 0.5000) x3

Computed properties:
Crystal system: cubic
DOS(E_F) in states/eV per atom: 1.936

Result of the stability comparison: a is the most stable of them.

a.
The following is a PBE-GGA calculation of crystalline HfPaNb at its relaxed geometry, from Alexandria via LeMat-Bulk.

Cell lengths 3.1566, 3.1566, 27.8495 Å; angles 90.00, 90.00, 90.00 degrees
Space group I4/mmm (No. 139)
Symmetry-distinct sites (fractional):
Hf (0.0000, 0.0000, 0.0542) x4
Pa (0.0000, 0.0000, 0.3596) x4
Nb (0.0000, 0.0000, 0.2194) x4

Computed properties:
Crystal system: tetragonal
DOS(E_F) in states/eV per atom: 1.764

b.
The following is a PBE-GGA calculation of crystalline HfPaNb at its relaxed geometry, from Alexandria via LeMat-Bulk.

Cell lengths 4.8377, 4.8377, 3.1809 Å; angles 90.00, 90.00, 120.00 degrees
Space group P3m1 (No. 156)
Symmetry-distinct sites (fractional):
Hf (0.0000, 0.0000, 0.0000) x1
Pa (0.6667, 0.3333, 0.4115) x1
Nb (0.3333, 0.6667, 0.6454) x1

Computed properties:
Crystal system: trigonal
DOS(E_F) in states/eV per atom: 1.252

Result of the stability comparison: b is the most stable of them.

a.
The following is a PBE-GGA calculation of crystalline HfPa2Nb at its relaxed geometry, from Alexandria via LeMat-Bulk.

Cell lengths 3.1418, 3.1418, 32.4169 Å; angles 90.00, 90.00, 120.00 degrees
Space group R-3m (No. 166, hexagonal axes)
Symmetry-distinct sites (fractional):
Hf (0.0000, 0.0000, 0.0000) x3
Pa (0.0000, 0.0000, 0.2486) x6
Nb (0.0000, 0.0000, 0.5000) x3

Computed properties:
Crystal system: trigonal
DOS(E_F) in states/eV per atom: 1.935

b.
The following is a PBE-GGA calculation of crystalline HfPa2Nb at its relaxed geometry, from Alexandria via LeMat-Bulk.

Cell lengths 7.1772, 7.1772, 7.1772 Å; angles 90.00, 90.00, 90.00 degrees
Space group Fm-3m (No. 225)
Symmetry-distinct sites (fractional):
Hf (0.0000, 0.0000, 0.0000) x4
Pa (0.2500, 0.2500, 0.2500) x8
Nb (0.0000, 0.0000, 0.5000) x4

Computed properties:
Crystal system: cubic
DOS(E_F) in states/eV per atom: 2.481

Result of the stability comparison: a is the most stable of them.

a.
The following is a PBE-GGA calculation of crystalline HfPa2Nb at its relaxed geometry, from Alexandria via LeMat-Bulk.

Cell lengths 2.9801, 2.9801, 10.1864 Å; angles 90.00, 90.00, 90.00 degrees
Space group P4/mmm (No. 123)
Symmetry-distinct sites (fractional):
Hf (0.0000, 0.0000, 0.0000) x1
Pa (0.5000, 0.5000, 0.2539) x2
Nb (0.0000, 0.0000, 0.5000) x1

Computed properties:
Crystal system: tetragonal
DOS(E_F) in states/eV per atom: 1.588

b.
The following is a PBE-GGA calculation of crystalline HfPa2Nb at its relaxed geometry, from Alexandria via LeMat-Bulk.

Cell lengths 4.2259, 4.2259, 5.0824 Å; angles 90.00, 90.00, 90.00 degrees
Space group P4/mmm (No. 123)
Symmetry-distinct sites (fractional):
Hf (0.0000, 0.0000, 0.0000) x1
Pa (0.0000, 0.5000, 0.5000) x2
Nb (0.5000, 0.5000, 0.0000) x1

Computed properties:
Crystal system: tetragonal
DOS(E_F) in states/eV per atom: 1.467

Result of the stability comparison: b is the most stable of them.

a.
The following is a PBE-GGA calculation of crystalline HfNbPb2 at its relaxed geometry, from Alexandria via LeMat-Bulk.

Cell lengths 7.9231, 7.9231, 6.2431 Å; angles 90.00, 90.00, 90.00 degrees
Space group I-42d (No. 122)
Symmetry-distinct sites (fractional):
Hf (0.0000, 0.0000, 0.0000) x4
Nb (0.0000, 0.0000, 0.5000) x4
Pb (0.2436, 0.7500, 0.6250) x8

Computed properties:
Crystal system: tetragonal
DOS(E_F) in states/eV per atom: 1.194

b.
The following is a PBE-GGA calculation of crystalline HfNbPb2 at its relaxed geometry, from Alexandria via LeMat-Bulk.

Cell lengths 7.0958, 7.0958, 7.0958 Å; angles 90.00, 90.00, 90.00 degrees
Space group Fm-3m (No. 225)
Symmetry-distinct sites (fractional):
Hf (0.0000, 0.0000, 0.0000) x4
Nb (0.0000, 0.0000, 0.5000) x4
Pb (0.2500, 0.2500, 0.2500) x8

Computed properties:
Crystal system: cubic
DOS(E_F) in states/eV per atom: 1.119

Result of the stability comparison: b is the most stable of them.